Record 1
This record from Alexandria describes a relaxed structure of Ho6SbSe5. The functional is GGA-PBE.

Formation energy from raw total energies in meV/atom: -1619

Cell: 7.1043 12.3197 7.1486 Å, 90.00 109.38 90.00°
Last column: nearest neighbours and their distance in Å.
Space group C2/m (No. 12)
Inequivalent atoms, fractional coordinates:
Ho: 0.2410 0.1703 0.2371 [8 per cell]  5 Se 2.85-2.93, 1 Sb 3.00
Ho: 0.2435 0.0000 0.7577 [4 per cell]  5 Se 2.82-2.92, 1 Sb 2.99
Sb: 0.0000 0.5000 0.5000 [2 per cell]  6 Ho 2.99-3.00
Se: 0.0000 0.0000 0.0000 [2 per cell]  6 Ho 2.82-2.88
Se: 0.0000 0.1679 0.5000 [4 per cell]  6 Ho 2.92-2.93
Se: 0.0000 0.3379 0.0000 [4 per cell]  6 Ho 2.85-2.89

Record 2
This record from Alexandria describes a relaxed structure of PmPr2Ni2. The functional is GGA-PBE.

Offset from the most stable computed form in kJ/mol of formula units: 0
Energy of formation in meV per atom: -226

Cell: 12.8707 3.8945 11.3779 Å, 90.00 119.20 90.00°
Last column: nearest neighbours and their distance in Å.
Space group C2/m (No. 12)
Inequivalent atoms, fractional coordinates:
Pm: 0.2044 0.0000 0.3571 [4 per cell]  4 Ni 2.82-2.94
Pr: 0.0440 0.5000 0.6921 [4 per cell]  6 Ni 2.94-3.18
Pr: 0.1628 0.5000 0.0697 [4 per cell]  4 Ni 2.81-3.14
Ni: 0.0093 0.0000 0.8915 [4 per cell]  1 Ni 2.60, 2 Pr 2.81, 1 Pm 2.82
Ni: 0.1128 0.0000 0.5486 [4 per cell]  1 Ni 2.55, 2 Pm 2.83

Record 3
This record from Alexandria describes a relaxed structure of RbTlOsCl6. The functional is GGA-PBE.

Formation energy from raw total energies in meV/atom: -902

Cell: 7.4691 7.4691 6.5019 Å, 90.00 90.00 120.00°
Last column: nearest neighbours and their distance in Å.
Space group P312 (No. 149)
Inequivalent atoms, fractional coordinates:
Rb: 0.0000 0.0000 0.0000 [1 per cell]  6 Cl 3.39
Tl: 0.3333 0.6667 0.5000 [1 per cell]  6 Cl 3.13
Os: 0.6667 0.3333 0.5000 [1 per cell]  6 Cl 2.35
Cl: 0.4094 0.0766 0.7096 [6 per cell]  1 Os 2.35

Record 4
This record from Alexandria describes a relaxed structure of ScIr3I. The functional is GGA-PBE.

Formation energy from raw total energies in meV/atom: 1625
Offset from the most stable computed form in kJ/mol of formula units: 123

Cell: 4.8117 4.8117 4.8117 Å, 90.00 90.00 90.00°
Last column: nearest neighbours and their distance in Å.
Space group Pm-3m (No. 221)
Inequivalent atoms, fractional coordinates:
Sc: 0.0000 0.0000 0.0000 [1 per cell]  6 Ir 2.41
Ir: 0.0000 0.0000 0.5000 [3 per cell]  2 Sc 2.41
I: 0.5000 0.5000 0.5000 [1 per cell]  12 Ir 3.40

no.,raw total energy (eV per atom)
1,-5.70
2,-5.40
3,-3.75
4,-5.27